The following is a PBE calculation of crystalline Sn5Te4Se at its relaxed geometry, from Alexandria via LeMat-Bulk.

Properties
E_tot in eV/cell: -39.10
ΔE_f (raw) in meV/atom: -303
Space group: I4/mmm (139)

Lattice parameters (Å, degrees): 16.1377 16.1377 16.1377 164.04 164.04 22.65
Element x y z (fractional)
Sn 0.0000 0.0000 0.0000
Sn 0.2009 0.2009 0.0000
Sn 0.4045 0.4045 0.0000
Sn 0.5955 0.5955 0.0000
Sn 0.7991 0.7991 0.0000
Te 0.0998 0.0998 0.0000
Te 0.3016 0.3016 0.0000
Te 0.6984 0.6984 0.0000
Te 0.9002 0.9002 0.0000
Se 0.5000 0.5000 0.0000

The following is a PBE calculation of crystalline Sn2TeSe2 at its relaxed geometry, from Alexandria via LeMat-Bulk.

Properties
E_tot in eV/cell: -58.64
ΔE_f (raw) in meV/atom: -286
Space group: R-3m (166)

Lattice parameters (Å, degrees): 4.0922 4.0922 30.3840 90.00 90.00 120.00
Element x y z (fractional)
Sn 0.0000 0.0000 0.0990
Sn 0.0000 0.0000 0.9010
Sn 0.3333 0.6667 0.5677
Sn 0.3333 0.6667 0.7657
Sn 0.6667 0.3333 0.2343
Sn 0.6667 0.3333 0.4323
Te 0.0000 0.0000 0.5000
Te 0.3333 0.6667 0.1667
Te 0.6667 0.3333 0.8333
Se 0.0000 0.0000 0.2837
Se 0.0000 0.0000 0.7163
Se 0.3333 0.6667 0.3829
Se 0.3333 0.6667 0.9504
Se 0.6667 0.3333 0.0496
Se 0.6667 0.3333 0.6171

The following is a PBE calculation of crystalline Sn2TeSe2 at its relaxed geometry, from Alexandria via LeMat-Bulk.

Properties
E_tot in eV/cell: -37.48
ΔE_f (raw) in meV/atom: -124
Space group: P4/mbm (127)

Lattice parameters (Å, degrees): 8.7897 8.7897 3.8023 90.00 90.00 90.00
Element x y z (fractional)
Sn 0.2266 0.2734 0.0000
Sn 0.2734 0.7734 0.0000
Sn 0.7266 0.2266 0.0000
Sn 0.7734 0.7266 0.0000
Te 0.0000 0.0000 0.0000
Te 0.5000 0.5000 0.0000
Se 0.1195 0.6195 0.5000
Se 0.3805 0.1195 0.5000
Se 0.6195 0.8805 0.5000
Se 0.8805 0.3805 0.5000